Entry 1:
A relaxed BaGe2H6N2 crystal, computed with GGA-PBE.

Cell lengths 4.2176, 6.8136, 7.2457 Å; angles 94.48, 106.55, 108.01 degrees
Positions (direct):
Ba (0.0000, 0.0000, 0.0000)
Ge (0.3077, 0.6052, 0.0104)
Ge (0.6923, 0.3948, 0.9896)
H (0.1572, 0.2965, 0.4137)
H (0.3680, 0.1681, 0.5525)
H (0.4606, 0.6965, 0.5944)
H (0.5394, 0.3035, 0.4056)
H (0.6320, 0.8319, 0.4475)
H (0.8428, 0.7035, 0.5863)
N (0.3079, 0.2038, 0.4145)
N (0.6921, 0.7962, 0.5855)

Calculated values
Crystal system: triclinic

Entry 2:
A relaxed Ba2NaGeH crystal, computed with GGA-PBE.

Cell lengths 5.5061, 5.5061, 4.7238 Å; angles 90.00, 90.00, 90.00 degrees
Positions (direct):
Ba (0.0000, 0.5000, 0.0000)
Ba (0.5000, 0.0000, 0.0000)
Na (0.0000, 0.0000, 0.5000)
Ge (0.5000, 0.5000, 0.5000)
H (0.0000, 0.0000, 0.0000)

Calculated values
Crystal system: tetragonal

Entry 3:
A relaxed Ba2NiGeH crystal, computed with GGA-PBE.

Cell lengths 5.7977, 5.7977, 3.6456 Å; angles 90.00, 90.00, 90.00 degrees
Positions (direct):
Ba (0.0000, 0.5000, 0.0000)
Ba (0.5000, 0.0000, 0.0000)
Ni (0.0000, 0.0000, 0.5000)
Ge (0.5000, 0.5000, 0.5000)
H (0.0000, 0.0000, 0.0000)

Calculated values
Crystal system: tetragonal

Entry 4:
A relaxed BaNi2GeH crystal, computed with GGA-PBE.

Cell lengths 6.1652, 6.1652, 7.0510 Å; angles 90.00, 90.00, 142.76 degrees
Positions (direct):
Ba (0.0513, 0.9487, 0.7500)
Ba (0.9487, 0.0513, 0.2500)
Ni (0.3199, 0.6801, 0.5633)
Ni (0.3199, 0.6801, 0.9367)
Ni (0.6801, 0.3199, 0.0633)
Ni (0.6801, 0.3199, 0.4367)
Ge (0.2236, 0.7764, 0.2500)
Ge (0.7764, 0.2236, 0.7500)
H (0.5000, 0.5000, 0.0000)
H (0.5000, 0.5000, 0.5000)

Calculated values
Crystal system: orthorhombic

Entry 5:
A relaxed BaGe2PH crystal, computed with GGA-PBE.

Cell lengths 4.5132, 4.5132, 4.9002 Å; angles 90.00, 90.00, 90.00 degrees
Positions (direct):
Ba (0.0000, 0.0000, 0.0000)
Ge (0.0000, 0.5000, 0.5000)
Ge (0.5000, 0.0000, 0.5000)
P (0.5000, 0.5000, 0.0000)
H (0.5000, 0.5000, 0.5000)

Calculated values
Crystal system: tetragonal

Entry 6:
A relaxed Ba2Ge2H4Pt crystal, computed with GGA-PBE.

Cell lengths 6.0602, 6.0602, 6.0602 Å; angles 114.69, 114.69, 99.47 degrees
Positions (direct):
Ba (0.2500, 0.7500, 0.5000)
Ba (0.7500, 0.2500, 0.5000)
Ge (0.1505, 0.1505, 0.0000)
Ge (0.8495, 0.8495, 0.0000)
H (0.3188, 0.3188, 0.6376)
H (0.3188, 0.6812, 0.0000)
H (0.6812, 0.3188, 0.0000)
H (0.6812, 0.6812, 0.3624)
Pt (0.5000, 0.5000, 0.0000)

Calculated values
Crystal system: tetragonal

Ordered DOS at the Fermi energy results: 1.69; 1.46; 2.31; 6.78; 2.28; 4.00; unit states/eV per cell.
Ordered DFT total energy results: -4.6833; -2.9675; -3.6987; -4.5943; -3.8266; -3.9348; unit eV per atom.